{
  "formula": "Pd2PtPb8",
  "functional": "PBE-GGA",
  "state": "relaxed",
  "lattice_angstrom": [[4.806, 0.000, 0.000], [0.000, 7.169, 0.057], [-2.403, -2.992, 8.220]],
  "species": ["Pd", "Pd", "Pt", "Pb", "Pb", "Pb", "Pb", "Pb", "Pb", "Pb", "Pb"],
  "frac_coords": [[0.824, 0.310, 0.647], [0.176, 0.690, 0.353], [0.500, 0.000, 0.000], [0.411, 0.550, 0.822], [0.669, 0.975, 0.338], [0.790, 0.677, 0.579], [0.969, 0.202, 0.938], [0.210, 0.323, 0.421], [0.331, 0.025, 0.662], [0.589, 0.450, 0.178], [0.031, 0.798, 0.062]],
  "total_magnetization_mub_per_cell": 0.0,
  "dos_ef_per_ev_atom": 0.46,
  "dft_energy_ev_per_fu": -47.32,
  "formation_enthalpy_0k_mev_per_atom": -112
}